# Cd4GeSe6

A geometry-optimized Cd4GeSe6 structure (PBE, OQMD via LeMat-Bulk).

Cell: 7.591 7.578 13.119 Å, 106.46 106.82 59.94°
Positions (direct):
Cd1 0.284 0.641 0.993
Cd2 0.432 0.081 0.801
Cd3 0.069 0.141 0.493
Cd4 0.807 0.404 0.807
Cd5 0.596 0.904 0.307
Cd6 0.196 0.657 0.644
Cd7 0.287 0.581 0.300
Cd8 0.791 0.157 0.144
Se1 0.987 0.032 0.974
Se2 0.930 0.943 0.308
Se3 0.956 0.532 0.474
Se4 0.435 0.443 0.808
Se5 0.227 0.240 0.246
Se6 0.535 0.572 0.186
Se7 0.993 0.533 0.004
Se8 0.477 0.033 0.504
Se9 0.079 0.072 0.686
Se10 0.779 0.740 0.746
Se11 0.482 0.500 0.504
Se12 0.523 0.000 0.004
Ge1 0.657 0.704 0.557
Ge2 0.196 0.204 0.057

Results
Symmetry: Cc (9)
DFT total energy, eV per atom: -3.16
Calculated density, Mg/m³: 5.37